--- a ---
Computed, not measured: a geometry-optimized CuRuI structure at the PBE level of DFT.

The calculation puts the density of states at the Fermi level at 7.27 states/eV per cell.

It has space group P-1 (No. 2), with a = 4.1436 Å, b = 4.7666 Å, c = 6.7901 Å, α = 102.06°, β = 99.97° and γ = 108.87°. Symmetry generates all atoms from Cu at (0.1865, 0.4029, 0.4103), Ru at (0.3594, 0.5516, 0.8133) and I at (0.3106, 0.8544, 0.1826).

---

--- b ---
Computed, not measured: a geometry-optimized CuRuI structure at the PBE level of DFT.

The calculation puts the density of states at the Fermi level at 8.69 states/eV per cell.

It has space group Cm (No. 8), with a = 6.7946 Å, b = 3.9215 Å, c = 10.7929 Å, α = 90.00°, β = 101.89° and γ = 90.00°. Symmetry generates all atoms from Cu at (0.0000, 0.0000, 0.0000), Cu at (0.1331, 0.5000, 0.8976), Ru at (0.0763, 0.0000, 0.2339), Ru at (0.2127, 0.5000, 0.1413), I at (0.4188, 0.5000, 0.7524) and I at (0.4604, 0.0000, 0.3895).

---

Energies relative to the most stable structure are a 395; b 0, reported in meV per atom.